# BeFeAs2 (meta-GGA SCAN, single point on PBEsol structure)
# total moment	0.90	Bohr magnetons per cell
# formation enthalpy at 0 K	385	meV per atom
data_BeFeAs2
_chemical_formula_sum 'Be1 Fe1 As2'
_symmetry_space_group_name_H-M 'P 1'
_symmetry_Int_Tables_number 1
_symmetry_space_group_name_Hall 'P 1'
_cell_length_a 4.256
_cell_length_b 4.256
_cell_length_c 4.256
_cell_angle_alpha 123.83
_cell_angle_beta 123.83
_cell_angle_gamma 83.48
loop_
_atom_site_label
_atom_site_type_symbol
_atom_site_fract_x
_atom_site_fract_y
_atom_site_fract_z
_atom_site_occupancy
Be1 Be 0.000 0.000 0.000 1
Fe1 Fe 0.500 0.500 0.000 1
As1 As 0.250 0.750 0.500 1
As2 As 0.750 0.250 0.500 1